This record from Alexandria describes an optimized crystal structure of Cs3TlO3. The functional is PBE-GGA.

```
28
Lattice="-2.0886 -2.4226 -6.8283 6.9561 -4.5718 -0.5057 -4.8593 -9.9701 5.0235" Properties=species:S:1:pos:R:3 pbc="T T T"
Cs 1.3567 -3.1194 -2.0775
Cs 4.5181 -7.4476 -4.0106
Cs -0.0343 -5.6211 -4.8293
Cs 2.1766 -6.7010 -0.9592
Cs -1.5916 -3.9650 0.7859
Cs 0.7362 -9.2601 -3.8724
Cs -0.7280 -7.7043 1.5620
Cs 1.5998 -12.9994 -3.0964
Cs -2.1684 -10.2634 -1.3513
Cs 0.0425 -11.3433 2.5189
Cs -4.5099 -9.5168 1.7001
Cs -1.3485 -13.8450 -0.2329
Tl 5.3076 -4.7556 -0.6981
Tl -2.2076 -6.4558 -1.9595
Tl 2.2158 -10.5086 -0.3510
Tl -5.2994 -12.2088 -1.6124
O 4.2784 -4.6859 -2.5979
O 0.1748 -1.5465 0.1151
O 1.9511 -7.5248 -5.8140
O -0.3369 -5.4100 -1.7011
O 3.1166 -9.4427 -2.1466
O -2.2771 -7.7998 -3.6513
O 2.2853 -9.1646 1.3409
O -3.1084 -7.5217 -0.1639
O 0.3451 -11.5544 -0.6093
O -1.9429 -9.4396 3.5035
O -0.1666 -15.4179 -2.4255
O -4.2702 -12.2785 0.2874
```

The calculation puts the total energy at -3.91 eV per atom. Its space group is P2_1/c, No. 14. The uncorrected formation energy is -727 kJ/mol of formula units. The polymorph energy (0 for the lowest one) comes out at 0 meV per atom.